VASP calculation (GGA-PBE) on crystalline UBi2Pd at its relaxed geometry.

```
4
Lattice="4.099 0.000 0.000 0.000 4.900 0.000 0.000 0.000 4.900" Properties=species:S:1:pos:R:3 pbc="T T T"
Bi 0.000 2.450 0.000
U 2.049 2.450 2.450
Bi 0.000 0.000 2.450
Pd 2.049 0.000 0.000
```

Its volume is 98 Å³/f.u. The density of states at the Fermi level is 1.71 states/eV/atom. The formation energy comes out at -0.093 eV/atom. The size of the total moment is 2.3 μB/cell. The crystal system is tetragonal.

VASP calculation (GGA-PBE) on crystalline Zr5ZnOs4 at its relaxed geometry.

```
10
Lattice="-2.572 -0.278 2.025 -1.073 -2.586 -1.718 8.795 -10.144 9.780" Properties=species:S:1:pos:R:3 pbc="T T T"
Zn 0.000 0.000 0.000
Zr 0.827 -4.488 3.100
Zr -0.913 -2.481 1.165
Zr 4.323 -8.520 6.987
Os 7.025 -8.102 7.811
Zr 6.064 -10.528 8.922
Os 3.523 -4.064 3.918
Os 1.771 -2.042 1.969
Os 5.272 -6.080 5.862
Zr 2.575 -6.504 5.044
```

Its volume is 179 Å³/f.u. The density of states at the Fermi level is 0.20 states/eV/atom. The formation energy comes out at -0.481 eV/atom. The size of the total moment is 0.0 μB/cell. The crystal system is tetragonal.

VASP calculation (GGA-PBE) on crystalline Pm3DyHo12 at its relaxed geometry.

```
16
Lattice="5.017 0.000 0.000 0.000 5.017 0.000 0.000 0.000 20.078" Properties=species:S:1:pos:R:3 pbc="T T T"
Pm 0.000 0.000 5.006
Ho 0.000 2.508 17.596
Ho 2.508 2.508 4.996
Ho 0.000 2.508 12.560
Pm 0.000 0.000 10.039
Ho 2.508 2.508 0.000
Ho 2.508 2.508 10.039
Ho 2.508 0.000 17.596
Dy 0.000 0.000 0.000
Ho 2.508 0.000 12.560
Ho 0.000 2.508 7.519
Ho 2.508 0.000 7.519
Ho 2.508 0.000 2.482
Ho 0.000 2.508 2.482
Ho 2.508 2.508 15.083
Pm 0.000 0.000 15.072
```

Its volume is 505 Å³/f.u. The density of states at the Fermi level is 1.34 states/eV/atom. The formation energy comes out at 0.020 eV/atom. The size of the total moment is 0.0 μB/cell. The crystal system is tetragonal.

VASP calculation (GGA-PBE) on crystalline AcMgIn at its relaxed geometry.

```
3
Lattice="-1.231 1.903 3.033 -0.326 -3.254 1.909 6.792 1.281 -0.411" Properties=species:S:1:pos:R:3 pbc="T T T"
Ac 0.025 0.003 0.009
Mg 3.712 0.374 1.272
In 1.498 -0.446 3.251
```

Its volume is 92 Å³/f.u. The density of states at the Fermi level is 0.63 states/eV/atom. The calculation puts the excess energy over the best structure of this formula in the dataset at 178 meV/atom. The formation energy comes out at -0.207 eV/atom. The size of the total moment is 0.0 μB/cell. The crystal system is tetragonal.